Below is a geometry-optimized Li6NdCd12 structure, with properties calculated at the PBE level.

Formation energy, eV/atom: -0.111
Space-group type: R-3m, No. 166

abc: 7.7553 7.7553 7.7553
angles: 105.58 105.58 105.58
Positions (direct):
Li  0.2683  0.2683  0.7096
Li  0.7317  0.7317  0.2904
Li  0.2683  0.7096  0.2683
Li  0.2904  0.7317  0.7317
Li  0.7317  0.2904  0.7317
Li  0.7096  0.2683  0.2683
Cd  0.5000  0.1180  0.8820
Cd  0.1180  0.5000  0.8820
Cd  0.8439  0.5936  0.5936
Cd  0.5936  0.8439  0.5936
Cd  0.8820  0.5000  0.1180
Cd  0.4064  0.1561  0.4064
Cd  0.4064  0.4064  0.1561
Cd  0.5936  0.5936  0.8439
Cd  0.5000  0.8820  0.1180
Cd  0.8820  0.1180  0.5000
Cd  0.1561  0.4064  0.4064
Cd  0.1180  0.8820  0.5000
Nd  0.0000  0.0000  0.0000



Below is a geometry-optimized LiNdCd14 structure, with properties calculated at the PBE level.

Formation energy, eV/atom: -0.099
Space-group type: P4/mmm, No. 123

abc: 6.6230 6.6230 8.4000
angles: 90.00 90.00 90.00
Positions (direct):
Cd  0.1346  0.6154  0.7537
Cd  0.3750  0.8750  0.5000
Cd  0.3750  0.8750  0.0000
Cd  0.1346  0.1346  0.7537
Cd  0.8750  0.3750  0.0000
Cd  0.3750  0.3750  0.0000
Cd  0.1346  0.6154  0.2463
Cd  0.6154  0.6154  0.7537
Cd  0.8750  0.3750  0.5000
Cd  0.8750  0.8750  0.0000
Cd  0.6154  0.1346  0.2463
Cd  0.6154  0.1346  0.7537
Cd  0.1346  0.1346  0.2463
Cd  0.6154  0.6154  0.2463
Li  0.3750  0.3750  0.5000
Nd  0.8750  0.8750  0.5000



Below is a geometry-optimized LiNd2Cd2 structure, with properties calculated at the PBE level.

Formation energy, eV/atom: -0.117
Space-group type: C2/c, No. 15

abc: 6.4424 9.2051 12.8115
angles: 22.96 75.44 69.52
Positions (direct):
Nd  0.5154  0.1735  0.0781
Nd  0.7670  0.3265  0.4219
Nd  0.2330  0.6735  0.5781
Nd  0.4846  0.8265  0.9219
Cd  0.0608  0.6360  0.0019
Cd  0.6986  0.8640  0.4981
Cd  0.3014  0.1360  0.5019
Cd  0.9392  0.3640  0.9981
Li  0.8152  0.2500  0.7500
Li  0.1848  0.7500  0.2500



Below is a geometry-optimized LiNdCd3 structure, with properties calculated at the PBE level.

Formation energy, eV/atom: -0.140
Space-group type: Pm-3m, No. 221

abc: 4.8887 4.8887 4.8887
angles: 90.00 90.00 90.00
Positions (direct):
Li  0.0000  0.0000  0.0000
Cd  0.0000  0.5000  0.0000
Cd  0.5000  0.0000  0.0000
Cd  0.0000  0.0000  0.5000
Nd  0.5000  0.5000  0.5000



Below is a geometry-optimized LiNd2Cd6 structure, with properties calculated at the PBE level.

Formation energy, eV/atom: -0.266
Space-group type: P6/mmm, No. 191

abc: 3.3524 8.7750 8.7750
angles: 60.00 89.98 89.98
Positions (direct):
Cd  0.4996  0.0000  0.6739
Cd  0.5000  0.6739  0.3261
Cd  0.5004  0.3261  0.0000
Cd  0.5004  0.0000  0.3261
Cd  0.4996  0.6739  0.0000
Cd  0.5000  0.3261  0.6739
Nd  0.0000  0.6667  0.6667
Nd  0.0000  0.3333  0.3333
Li  0.0000  0.0000  0.0000



Below is a geometry-optimized Li2NdCd4 structure, with properties calculated at the PBE level.

Formation energy, eV/atom: -0.293
Space-group type: Immm, No. 71

abc: 5.9888 5.9888 5.4495
angles: 62.92 62.92 78.26
Positions (direct):
Li  0.5000  0.5000  0.2505
Li  0.5000  0.5000  0.7495
Nd  0.0000  0.0000  0.0000
Cd  0.3904  0.0009  0.3043
Cd  0.0009  0.3904  0.3043
Cd  0.9991  0.6096  0.6957
Cd  0.6096  0.9991  0.6957



Below is a geometry-optimized LiNdCd4 structure, with properties calculated at the PBE level.

Formation energy, eV/atom: -0.234
Space-group type: Pmma, No. 51

abc: 4.2577 7.6402 8.4251
angles: 90.00 90.00 90.00
Positions (direct):
Cd  0.5000  0.6859  0.0581
Cd  0.5000  0.0603  0.2500
Cd  0.0000  0.0000  0.5000
Cd  0.5000  0.9397  0.7500
Cd  0.5000  0.6859  0.4419
Cd  0.0000  0.0000  0.0000
Cd  0.5000  0.3141  0.5581
Cd  0.5000  0.3141  0.9419
Nd  0.0000  0.6195  0.7500
Nd  0.0000  0.3805  0.2500
Li  0.0000  0.7956  0.2500
Li  0.0000  0.2044  0.7500



Below is a geometry-optimized LiNd2Cd structure, with properties calculated at the PBE level.

Formation energy, eV/atom: 0.236
Space-group type: R-3m, No. 166

abc: 3.4167 3.4167 12.2523
angles: 81.99 81.99 60.00
Positions (direct):
Li  0.5000  0.5000  0.5000
Cd  0.0000  0.0000  0.0000
Nd  0.0912  0.0912  0.7264
Nd  0.9088  0.9088  0.2736



Below is a geometry-optimized Li12NdCd6 structure, with properties calculated at the PBE level.

Formation energy, eV/atom: -0.076
Space-group type: R-3m, No. 166

abc: 7.5657 7.5657 7.5657
angles: 101.43 101.43 101.43
Positions (direct):
Li  0.4300  0.1577  0.4300
Li  0.8933  0.5000  0.1067
Li  0.5700  0.8423  0.5700
Li  0.4300  0.4300  0.1577
Li  0.5000  0.1067  0.8933
Li  0.1067  0.8933  0.5000
Li  0.8933  0.1067  0.5000
Li  0.5000  0.8933  0.1067
Li  0.1577  0.4300  0.4300
Li  0.5700  0.5700  0.8423
Li  0.8423  0.5700  0.5700
Li  0.1067  0.5000  0.8933
Cd  0.2430  0.2430  0.7333
Cd  0.7570  0.2667  0.7570
Cd  0.7333  0.2430  0.2430
Cd  0.7570  0.7570  0.2667
Cd  0.2667  0.7570  0.7570
Cd  0.2430  0.7333  0.2430
Nd  0.0000  0.0000  0.0000



Below is a geometry-optimized LiNd3Cd2 structure, with properties calculated at the PBE level.

Formation energy, eV/atom: -0.193
Space-group type: Cmmm, No. 65

abc: 3.9117 5.3947 8.5137
angles: 108.47 90.00 90.00
Positions (direct):
Cd  0.0000  0.3360  0.6720
Cd  0.0000  0.6640  0.3280
Nd  0.5000  0.1668  0.3336
Nd  0.5000  0.8332  0.6664
Nd  0.5000  0.5000  0.0000
Li  0.0000  0.0000  0.0000



Below is a geometry-optimized LiNdCd4 structure, with properties calculated at the PBE level.

Formation energy, eV/atom: -0.090
Space-group type: I-4m2, No. 119

abc: 4.0464 4.0464 10.1556
angles: 101.49 101.49 90.00
Positions (direct):
Cd  0.5801  0.5801  0.1603
Cd  0.6791  0.1791  0.3581
Cd  0.4199  0.4199  0.8397
Cd  0.8209  0.3209  0.6419
Nd  0.0000  0.0000  0.0000
Li  0.2500  0.7500  0.5000



Below is a geometry-optimized LiNdCdNi structure, with properties calculated at the PBE level.

Formation energy, eV/atom: -0.160
Space-group type: F-43m, No. 216

abc: 4.7967 4.7967 4.7967
angles: 60.00 60.00 60.00
Positions (direct):
Ni  0.5000  0.5000  0.5000
Nd  0.2500  0.2500  0.2500
Li  0.0000  0.0000  0.0000
Cd  0.7500  0.7500  0.7500